Record 1
A plane-wave DFT calculation with PBE was carried out for a relaxed structure of BeCu2Sb.

Summary:
- N(E_F) (states/eV/cell) = 3.11
- E_form (uncorrected) (eV per atom) = 0.452
- DFT total energy (eV per atom) = -3.558
- ΔE to the lowest computed polymorph (meV/atom) = 254

abc: 3.1286 3.1286 22.1018
angles: 90.00 90.00 120.00
Space group R3m (No. 160, hexagonal axes)
Inequivalent atoms, fractional coordinates:
Be (0.0000, 0.0000, 0.0000)
Cu (0.0000, 0.0000, 0.2670)
Cu (0.0000, 0.0000, 0.5194)
Sb (0.0000, 0.0000, 0.7554)

=====

Record 2
A plane-wave DFT calculation with PBE was carried out for a relaxed structure of Be2CuSb.

Summary:
- N(E_F) (states/eV/cell) = 1.22
- E_form (uncorrected) (eV per atom) = 0.429
- DFT total energy (eV per atom) = -3.489

abc: 3.455 3.496 4.754
angles: 90.00 90.00 90.00
Space group Pmm2 (No. 25)
Inequivalent atoms, fractional coordinates:
Be (0.000, 0.000, 0.000)
Be (0.500, 0.500, 0.253)
Cu (0.000, 0.000, 0.464)
Sb (0.500, 0.500, 0.756)

=====

Record 3
A plane-wave DFT calculation with PBE was carried out for a relaxed structure of BeCu2Sb.

Summary:
- N(E_F) (states/eV/cell) = 6.22
- E_form (uncorrected) (eV per atom) = 0.444
- DFT total energy (eV per atom) = -3.566
- ΔE to the lowest computed polymorph (meV/atom) = 246

abc: 2.9912 2.9912 23.7160
angles: 90.00 90.00 120.00
Space group R-3m (No. 166, hexagonal axes)
Inequivalent atoms, fractional coordinates:
Be (0.0000, 0.0000, 0.0000)
Cu (0.0000, 0.0000, 0.2656)
Sb (0.0000, 0.0000, 0.5000)

=====

Record 4
A plane-wave DFT calculation with PBE was carried out for a relaxed structure of BeCuSb2.

Summary:
- N(E_F) (states/eV/cell) = 2.83
- E_form (uncorrected) (eV per atom) = 0.153
- DFT total energy (eV per atom) = -3.864

abc: 7.578 3.709 6.131
angles: 90.00 108.56 90.00
Space group Cm (No. 8)
Inequivalent atoms, fractional coordinates:
Be (0.000, 0.000, 0.000)
Cu (0.233, 0.500, 0.103)
Sb (0.225, 0.000, 0.777)
Sb (0.491, 0.000, 0.321)

=====

Record 5
A plane-wave DFT calculation with PBE was carried out for a relaxed structure of Be2CuSb.

Summary:
- N(E_F) (states/eV/cell) = 2.75
- E_form (uncorrected) (eV per atom) = 0.463
- DFT total energy (eV per atom) = -3.454

abc: 3.772 3.772 7.797
angles: 90.00 90.00 90.00
Space group I-4m2 (No. 119)
Inequivalent atoms, fractional coordinates:
Be (0.000, 0.000, 0.000)
Be (0.000, 0.500, 0.250)
Cu (0.000, 0.500, 0.750)
Sb (0.000, 0.000, 0.500)

=====

Record 6
A plane-wave DFT calculation with PBE was carried out for a relaxed structure of BeCuSb.

Summary:
- N(E_F) (states/eV/cell) = 2.96
- E_form (uncorrected) (eV per atom) = 0.102
- DFT total energy (eV per atom) = -3.880

abc: 7.471 3.726 7.423
angles: 90.00 96.43 90.00
Space group C2/m (No. 12)
Inequivalent atoms, fractional coordinates:
Be (0.032, 0.000, 0.356)
Cu (0.153, 0.500, 0.571)
Sb (0.200, 0.500, 0.195)